[1]
Density functional theory data (GGA-PBE) for an optimized crystal structure of YZrSb.

Output
- SG = F-43m, No. 216
- magnetization (μB per cell) = 0.74

Unit cell a=4.9260 b=4.9260 c=4.9260 alpha=60.00 beta=60.00 gamma=60.00
Positions (direct):
Y 0.0000 0.0000 0.0000
Zr 0.5000 0.5000 0.5000
Sb 0.2500 0.2500 0.2500

[2]
Density functional theory data (GGA-PBE) for an optimized crystal structure of YZr2Sb.

Output
- SG = R-3m, No. 166
- magnetization (μB per cell) = 0.00

Unit cell a=10.3518 b=10.3518 c=10.3518 alpha=18.88 beta=18.88 gamma=18.88
Positions (direct):
Y 0.7500 0.7500 0.7500
Sb 0.2500 0.2500 0.2500
Zr 0.9939 0.9939 0.9939
Zr 0.5061 0.5061 0.5061

[3]
Density functional theory data (GGA-PBE) for an optimized crystal structure of YZr2Sb.

Output
- SG = P2/m, No. 10
- magnetization (μB per cell) = 0.00

Unit cell a=5.3545 b=3.3776 c=5.6205 alpha=81.46 beta=90.00 gamma=90.00
Positions (direct):
Y 0.5000 0.7500 0.7500
Sb 0.5000 0.2500 0.2500
Zr 0.0000 0.0843 0.0116
Zr 0.0000 0.4157 0.4884

[4]
Density functional theory data (GGA-PBE) for an optimized crystal structure of Y2ZrSb.

Output
- SG = Amm2, No. 38
- magnetization (μB per cell) = 0.00

Unit cell a=4.7248 b=3.9745 c=6.2543 alpha=71.44 beta=90.00 gamma=90.00
Positions (direct):
Y 0.5000 0.2775 0.3205
Y 0.0000 0.9731 0.9278
Zr 0.0000 0.6975 0.4807
Sb 0.5000 0.5518 0.7709

| no. | raw total energy (eV per atom) | formation energy (no corrections) (kJ/mol of atoms) |
| --- | --- | --- |
| 1 | -6.7267 | -33.6 |
| 2 | -7.0032 | -8.0 |
| 3 | -7.1473 | -21.9 |
| 4 | -6.8331 | -41.8 |